# 1
PBE PmGdInPt, relaxed; space group = F-43m (216); ΔE_f = -0.6948 eV/atom; total magnetization = 7.1 μB per formula unit
1.0
5.223 0.000 0.000
2.612 4.524 0.000
2.612 1.508 4.265
Pm Gd In Pt
1 1 1 1
direct
0.000 0.000 0.000
0.500 0.500 0.500
0.750 0.750 0.750
0.250 0.250 0.250

=====

# 2
PBE PmGdPuIn, relaxed; space group = F-43m (216); ΔE_f = 0.0190 eV/atom; total magnetization = 0.6 μB per formula unit
1.0
-0.802 -3.094 4.456
-2.676 -4.768 -0.418
2.715 -4.728 0.580
Pu Gd In Pm
1 1 1 1
direct
0.750 0.750 0.750
0.250 0.250 0.250
0.500 0.500 0.500
0.000 0.000 0.000

=====

# 3
PBE PmGdScIn, relaxed; space group = F-43m (216); ΔE_f = -0.1776 eV/atom; total magnetization = 8.3 μB per formula unit
1.0
5.411 0.000 0.000
2.705 4.686 0.000
2.705 1.562 4.418
Pm Sc Gd In
1 1 1 1
direct
0.250 0.250 0.250
0.000 0.000 0.000
0.750 0.750 0.750
0.500 0.500 0.500

=====

# 4
PBE PmGdInSn, relaxed; space group = F-43m (216); ΔE_f = -0.5420 eV/atom; total magnetization = 7.2 μB per formula unit
1.0
5.414 0.000 0.000
2.707 4.689 0.000
2.707 1.563 4.421
Sn In Pm Gd
1 1 1 1
direct
0.250 0.250 0.250
0.750 0.750 0.750
0.000 0.000 0.000
0.500 0.500 0.500

=====

# 5
PBE TbPmGdIn, relaxed; space group = F-43m (216); ΔE_f = -0.1291 eV/atom; total magnetization = 8.6 μB per formula unit
1.0
5.507 0.000 0.000
2.754 4.770 0.000
2.754 1.590 4.497
In Gd Tb Pm
1 1 1 1
direct
0.000 0.000 0.000
0.750 0.750 0.750
0.250 0.250 0.250
0.500 0.500 0.500

=====

# 6
PBE PmGdTiIn, relaxed; space group = F-43m (216); ΔE_f = -0.0775 eV/atom; total magnetization = 9.8 μB per formula unit
1.0
5.334 0.000 0.000
2.667 4.620 0.000
2.667 1.540 4.356
Gd In Ti Pm
1 1 1 1
direct
0.500 0.500 0.500
0.250 0.250 0.250
0.750 0.750 0.750
0.000 0.000 0.000

=====

# 7
PBE PmGdTlIn, relaxed; space group = F-43m (216); ΔE_f = -0.4295 eV/atom; total magnetization = 7.2 μB per formula unit
1.0
5.432 0.000 0.000
2.716 4.704 0.000
2.716 1.568 4.435
Tl In Pm Gd
1 1 1 1
direct
0.000 0.000 0.000
0.500 0.500 0.500
0.250 0.250 0.250
0.750 0.750 0.750

=====

# 8
PBE PmGdTmIn, relaxed; space group = F-43m (216); ΔE_f = -0.1120 eV/atom; total magnetization = 8.6 μB per formula unit
1.0
-1.993 4.316 -2.721
-3.519 3.401 2.460
1.583 5.064 1.360
Gd In Tm Pm
1 1 1 1
direct
0.500 0.500 0.500
0.250 0.250 0.250
0.000 0.000 0.000
0.750 0.750 0.750